TaTiOs | PBE | relaxed

Summary:
- energy relative to the lowest polymorph listed for this composition (meV per atom) = 309
- DOS at the Fermi energy (states/eV per atom) = 0.726
- total magnetization (μB/cell) = 0.000
- VASP energy (eV/atom) = -10.476

a b c (Å): 4.503 5.221 8.348
angles (deg): 90.00 90.00 90.00
Space group Immm (No. 71)
Asymmetric unit:
Ta (0.000, 0.248, 0.000) x4
Ti (0.000, 0.500, 0.327) x4
Os (0.000, 0.000, 0.336) x4